# 1
## SrIrOs2 (meta-GGA SCAN)

Data for a crystal of SrIrOs2 relaxed with PBEsol.

abc: 4.318 2.774 12.074
angles: 90.00 90.00 90.00
Atoms (fractional coordinates):
Sr: 0.000 0.000 0.000
Sr: 0.000 0.500 0.500
Ir: 0.500 0.000 0.365
Ir: 0.500 0.500 0.865
Os: 0.000 0.000 0.247
Os: 0.000 0.500 0.747
Os: 0.500 0.000 0.681
Os: 0.500 0.500 0.181

- E_form (meV per atom) = 522.7
- DOS at the Fermi energy (states/eV per atom) = 0.714

=====

# 2
## SrIr2Os (meta-GGA SCAN)

Data for a crystal of SrIr2Os relaxed with PBEsol.

abc: 4.050 4.050 8.204
angles: 90.00 90.00 90.00
Atoms (fractional coordinates):
Sr: 0.000 0.000 0.000
Sr: 0.500 0.500 0.500
Ir: 0.000 0.000 0.500
Ir: 0.000 0.500 0.250
Ir: 0.500 0.000 0.750
Ir: 0.500 0.500 0.000
Os: 0.000 0.500 0.750
Os: 0.500 0.000 0.250

- E_form (meV per atom) = 871.4
- DOS at the Fermi energy (states/eV per atom) = 0.969

=====

# 3
## SrIr2Os (meta-GGA SCAN)

Data for a crystal of SrIr2Os relaxed with PBEsol.

abc: 4.178 4.178 7.725
angles: 90.00 90.00 90.00
Atoms (fractional coordinates):
Sr: 0.000 0.000 0.000
Sr: 0.500 0.500 0.500
Ir: 0.000 0.500 0.250
Ir: 0.000 0.500 0.750
Ir: 0.500 0.000 0.250
Ir: 0.500 0.000 0.750
Os: 0.000 0.000 0.500
Os: 0.500 0.500 0.000

- E_form (meV per atom) = 837.0
- DOS at the Fermi energy (states/eV per atom) = 0.838

=====

# 4
## SrIr2Os (meta-GGA SCAN)

Data for a crystal of SrIr2Os relaxed with PBEsol.

abc: 5.838 8.105 2.775
angles: 90.00 90.00 90.00
Atoms (fractional coordinates):
Sr: 0.000 0.000 0.000
Sr: 0.500 0.500 0.000
Ir: 0.250 0.250 0.500
Ir: 0.250 0.750 0.500
Ir: 0.750 0.250 0.500
Ir: 0.750 0.750 0.500
Os: 0.000 0.500 0.000
Os: 0.500 0.000 0.000

- E_form (meV per atom) = 562.2
- DOS at the Fermi energy (states/eV per atom) = 0.815